1.
DFT (PBE) results for a geometry-optimized YNb2AgIr structure.

Cell and atoms, written as CIF:
```
data_YNb2AgIr
_space_group_name_H-M_alt 'P 4/m m m'
_space_group_IT_number 123
_space_group_name_Hall '-P 4 2'
_cell_length_a 4.876
_cell_length_b 4.876
_cell_length_c 5.014
_cell_angle_alpha 90.00
_cell_angle_beta 90.00
_cell_angle_gamma 90.00
loop_
_atom_site_label
_atom_site_fract_x
_atom_site_fract_y
_atom_site_fract_z
_atom_site_occupancy
Y1 0.000 0.000 0.000 1
Nb1 0.000 0.500 0.500 1
Ag1 0.500 0.500 0.500 1
Ir1 0.500 0.500 0.000 1
```

Properties
For the energy of formation, the calculation gives 1.35 eV per atom. Its volume is 119 Å³/f.u.

2.
DFT (PBE) results for a geometry-optimized ZrNbAg2Ir structure.

Cell and atoms, written as CIF:
```
data_ZrNbAg2Ir
_space_group_name_H-M_alt 'P 4/m m m'
_space_group_IT_number 123
_space_group_name_Hall '-P 4 2'
_cell_length_a 5.001
_cell_length_b 5.001
_cell_length_c 4.692
_cell_angle_alpha 90.00
_cell_angle_beta 90.00
_cell_angle_gamma 90.00
loop_
_atom_site_label
_atom_site_fract_x
_atom_site_fract_y
_atom_site_fract_z
_atom_site_occupancy
Zr1 0.000 0.000 0.000 1
Nb1 0.500 0.500 0.000 1
Ag1 0.000 0.500 0.500 1
Ir1 0.500 0.500 0.500 1
```

Properties
For the energy of formation, the calculation gives 0.96 eV per atom. Its volume is 117 Å³/f.u.